Ac2LaPr7: relaxed, PBE.

Cell: 15.6172 15.6172 3.6507 Å, 90.00 90.00 154.28°
Closest atoms and distances in Å follow each position.
Atoms (fractional coordinates):
Ac: 0.2057 0.7943 0.0000  2 Ac 3.65, 8 Pr 3.74-3.98
Ac: 0.7943 0.2057 0.0000  2 Ac 3.65, 8 Pr 3.74-3.98
La: 0.5000 0.5000 0.5000  2 La 3.65, 12 Pr 3.88-3.93
Pr: 0.0000 0.0000 0.0000  6 Pr 3.45-3.65
Pr: 0.1567 0.3514 0.0000  7 Pr 3.42-3.65, 1 Ac 3.74
Pr: 0.3151 0.6849 0.5000  6 Pr 3.65, 6 Ac 3.80-3.98
Pr: 0.3514 0.1567 0.0000  7 Pr 3.42-3.65, 1 Ac 3.74
Pr: 0.6486 0.8433 0.0000  7 Pr 3.42-3.65, 1 Ac 3.74
Pr: 0.6849 0.3151 0.5000  6 Pr 3.65, 6 Ac 3.80-3.98
Pr: 0.8433 0.6486 0.0000  7 Pr 3.42-3.65, 1 Ac 3.74

Properties
Crystal system   orthorhombic
Energy above the lowest structure with this stoichiometry   0 meV/atom


Ti2CrFeRu: relaxed, PBE.

Cell: 4.4392 4.4392 4.0255 Å, 90.00 90.00 90.00°
Closest atoms and distances in Å follow each position.
Atoms (fractional coordinates):
Ti: 0.0000 0.5000 0.0000  2 Fe 2.22
Ti: 0.5000 0.0000 0.0000  2 Fe 2.22
Cr: 0.0000 0.0000 0.5000  2 Fe 2.01
Fe: 0.0000 0.0000 0.0000  2 Cr 2.01, 4 Ti 2.22
Ru: 0.5000 0.5000 0.5000  8 Ti 3.00, 4 Cr 3.14

Properties
Crystal system   tetragonal


NdCuGe: relaxed, PBE.

Cell: 4.2247 4.2247 4.1103 Å, 90.00 90.00 120.00°
Closest atoms and distances in Å follow each position.
Atoms (fractional coordinates):
Nd: 0.0000 0.0000 0.0000  6 Ge 3.19, 6 Cu 3.19
Cu: 0.3333 0.6667 0.5000  3 Ge 2.44
Ge: 0.6667 0.3333 0.5000  3 Cu 2.44

Properties
Crystal system   hexagonal


LiZnBi2: relaxed, PBE.

Cell: 6.7811 6.7811 6.7811 Å, 101.50 101.50 126.96°
Closest atoms and distances in Å follow each position.
Atoms (fractional coordinates):
Li: 0.0000 0.0000 0.0000  2 Zn 3.03
Li: 0.7500 0.2500 0.5000  2 Zn 3.03
Zn: 0.2500 0.7500 0.5000  4 Bi 2.78, 2 Li 3.03
Zn: 0.5000 0.5000 0.0000  4 Bi 2.78, 2 Li 3.03
Bi: 0.1892 0.6250 0.0642  2 Zn 2.78
Bi: 0.3750 0.4392 0.5642  2 Zn 2.78
Bi: 0.5608 0.1250 0.9358  2 Zn 2.78
Bi: 0.8750 0.8108 0.4358  2 Zn 2.78

Properties
Crystal system   tetragonal


no.,N(E_F) (states/eV per atom),energy relative to the elements (eV/atom)
1,1.737,0.14
2,1.279,0.61
3,0.703,-0.62
4,0.712,-0.01